CsPbCl: relaxed, PBE.

Properties
As for the magnetization: 0.0 μB/f.u. The calculation puts the uncorrected formation energy at -1025 meV/atom.

Unit cell a=4.694 b=4.694 c=12.366 alpha=90.00 beta=90.00 gamma=90.00
Fractional positions:
Pb (0.500, 0.500, 0.000)
Pb (0.000, 0.000, 0.000)
Cs (0.500, 0.000, 0.645)
Cs (0.000, 0.500, 0.355)
Cl (0.000, 0.500, 0.642)
Cl (0.500, 0.000, 0.358)

=====

Cs3PbCl6: relaxed, PBE.

Properties
As for the polymorph energy (0 for the lowest one): 0 meV/atom. As for the magnetization: 0.3 μB/f.u. The calculation puts the uncorrected formation energy at -1549 meV/atom.

Unit cell a=8.152 b=8.607 c=11.659 alpha=90.00 beta=89.97 gamma=90.00
Site moments in Bohr magnetons follow the coordinates.
Fractional positions:
Pb (0.500, 0.500, 0.500)  0.07
Pb (0.000, 0.000, 0.000)  0.07
Cl (0.834, 0.735, 0.933)  0.03
Cl (0.166, 0.265, 0.067)  0.03
Cl (0.771, 0.676, 0.551)  0.04
Cl (0.334, 0.765, 0.433)  0.03
Cl (0.113, 0.045, 0.780)  0.04
Cl (0.887, 0.955, 0.220)  0.04
Cl (0.613, 0.455, 0.280)  0.04
Cl (0.666, 0.235, 0.567)  0.03
Cl (0.387, 0.545, 0.720)  0.04
Cl (0.271, 0.824, 0.051)  0.04
Cl (0.229, 0.324, 0.449)  0.04
Cl (0.729, 0.176, 0.949)  0.04
Cs (0.000, 0.000, 0.500)  0.00
Cs (0.524, 0.933, 0.751)  0.00
Cs (0.024, 0.567, 0.251)  0.00
Cs (0.476, 0.067, 0.249)  0.00
Cs (0.500, 0.500, 0.000)  0.00
Cs (0.976, 0.433, 0.749)  0.00

=====

CsPbCl2: relaxed, PBE.

Properties
As for the polymorph energy (0 for the lowest one): 0 meV/atom. As for the magnetization: 0.0 μB/f.u. The calculation puts the uncorrected formation energy at -1129 meV/atom.

Unit cell a=10.390 b=10.390 c=10.390 alpha=24.23 beta=24.23 gamma=24.23
Fractional positions:
Cs (0.500, 0.500, 0.500)
Pb (0.000, 0.000, 0.000)
Cl (0.092, 0.092, 0.092)
Cl (0.908, 0.908, 0.908)

=====

Cs2PbCl: relaxed, PBE.

Properties
As for the polymorph energy (0 for the lowest one): 55 meV/atom. As for the magnetization: 1.0 μB/f.u. The calculation puts the uncorrected formation energy at -635 meV/atom.

Unit cell a=9.728 b=9.728 c=8.466 alpha=54.93 beta=54.93 gamma=90.00
Site moments in Bohr magnetons follow the coordinates.
Fractional positions:
Cs (0.186, 0.625, 0.250)  0.01
Cs (0.875, 0.814, 0.750)  0.01
Cs (0.564, 0.125, 0.250)  0.01
Cs (0.375, 0.436, 0.750)  0.01
Cl (0.250, 0.750, 0.500)  0.01
Cl (0.500, 0.500, 0.000)  0.01
Pb (0.750, 0.250, 0.500)  0.27
Pb (0.000, 0.000, 0.000)  0.27

=====

Cs2PbCl5: relaxed, PBE.

Properties
As for the polymorph energy (0 for the lowest one): 52 meV/atom. As for the magnetization: 0.5 μB/f.u. The calculation puts the uncorrected formation energy at -1409 meV/atom.

Unit cell a=7.540 b=7.540 c=7.540 alpha=98.48 beta=115.23 gamma=115.23
Site moments in Bohr magnetons follow the coordinates.
Fractional positions:
Cl (0.000, 0.278, 0.278)  0.05
Cl (0.469, 0.218, 0.218)  0.07
Cl (0.000, 0.218, 0.749)  0.07
Cl (0.000, 0.749, 0.218)  0.07
Cl (0.531, 0.749, 0.749)  0.07
Pb (0.000, 0.020, 0.020)  0.10
Cs (0.500, 0.744, 0.244)  0.00
Cs (0.500, 0.244, 0.744)  0.00

=====

Cs3Pb4Cl12: relaxed, PBE.

Properties
As for the magnetization: 0.0 μB/f.u. The calculation puts the uncorrected formation energy at -1384 meV/atom.

Unit cell a=9.755 b=9.755 c=9.755 alpha=109.47 beta=109.47 gamma=109.47
Fractional positions:
Cl (0.278, 0.040, 0.763)
Cl (0.485, 0.763, 0.722)
Cl (0.278, 0.515, 0.237)
Cl (0.763, 0.278, 0.040)
Cl (0.040, 0.763, 0.278)
Cl (0.960, 0.237, 0.722)
Cl (0.722, 0.485, 0.763)
Cl (0.237, 0.278, 0.515)
Cl (0.722, 0.960, 0.237)
Cl (0.763, 0.722, 0.485)
Cl (0.515, 0.237, 0.278)
Cl (0.237, 0.722, 0.960)
Cs (0.500, 0.000, 0.500)
Cs (0.000, 0.500, 0.500)
Cs (0.500, 0.500, 0.000)
Pb (0.000, 0.500, 0.000)
Pb (0.500, 0.500, 0.500)
Pb (0.500, 0.000, 0.000)
Pb (0.000, 0.000, 0.500)

=====

Cs2Pb3Cl10: relaxed, PBE.

Properties
As for the magnetization: 0.0 μB/f.u. The calculation puts the uncorrected formation energy at -1224 meV/atom.

Unit cell a=8.245 b=10.689 c=13.734 alpha=111.39 beta=107.47 gamma=90.00
Fractional positions:
Cl (0.779, 0.500, 0.000)
Cl (0.490, 0.814, 0.979)
Cl (0.383, 0.061, 0.233)
Cl (0.000, 0.000, 0.500)
Cl (0.905, 0.488, 0.281)
Cl (0.881, 0.249, 0.761)
Cl (0.150, 0.939, 0.767)
Cl (0.025, 0.226, 0.049)
Cl (0.510, 0.186, 0.021)
Cl (0.221, 0.500, 0.000)
Cl (0.975, 0.774, 0.951)
Cl (0.850, 0.061, 0.233)
Cl (0.119, 0.751, 0.239)
Cl (0.617, 0.939, 0.767)
Cl (0.624, 0.512, 0.719)
Cl (0.095, 0.512, 0.719)
Cl (0.376, 0.488, 0.281)
Cl (0.757, 0.694, 0.515)
Cl (0.500, 0.000, 0.500)
Cl (0.243, 0.306, 0.485)
Pb (0.742, 0.000, 0.000)
Pb (0.819, 0.956, 0.638)
Pb (0.258, 0.000, 0.000)
Pb (0.078, 0.489, 0.156)
Pb (0.922, 0.511, 0.844)
Pb (0.181, 0.044, 0.362)
Cs (0.276, 0.682, 0.553)
Cs (0.724, 0.318, 0.447)
Cs (0.629, 0.770, 0.258)
Cs (0.371, 0.230, 0.742)

=====

Cs2Pb2Cl7: relaxed, PBE.

Properties
As for the magnetization: 0.0 μB/f.u. The calculation puts the uncorrected formation energy at -1290 meV/atom.

Unit cell a=7.062 b=7.966 c=7.062 alpha=89.99 beta=97.77 gamma=90.01
Fractional positions:
Cl (0.500, 0.789, 0.500)
Cl (0.500, 0.211, 0.500)
Cl (0.000, 0.224, 0.500)
Cl (0.500, 0.776, 0.000)
Cl (0.000, 0.776, 0.500)
Cl (0.000, 0.000, 0.000)
Cl (0.500, 0.224, 0.000)
Cs (0.228, 0.500, 0.228)
Cs (0.772, 0.500, 0.772)
Pb (0.723, 0.000, 0.277)
Pb (0.277, 0.000, 0.723)

=====

CsPb5Cl11: relaxed, PBE.

Properties
As for the magnetization: 0.0 μB/f.u. The calculation puts the uncorrected formation energy at -1223 meV/atom.

Unit cell a=7.800 b=8.812 c=8.812 alpha=98.56 beta=102.92 gamma=102.92
Fractional positions:
Pb (0.000, 0.500, 0.500)
Pb (0.302, 0.992, 0.633)
Pb (0.698, 0.008, 0.367)
Pb (0.698, 0.367, 0.008)
Pb (0.302, 0.633, 0.992)
Cl (0.924, 0.554, 0.815)
Cl (0.360, 0.682, 0.682)
Cl (0.308, 0.323, 0.874)
Cl (0.308, 0.874, 0.323)
Cl (0.692, 0.126, 0.677)
Cl (0.076, 0.185, 0.446)
Cl (0.076, 0.446, 0.185)
Cl (0.692, 0.677, 0.126)
Cl (0.640, 0.318, 0.318)
Cl (0.924, 0.815, 0.554)
Cl (0.500, 0.000, 0.000)
Cs (0.000, 0.000, 0.000)

=====

CsPbCl5: relaxed, PBE.

Properties
As for the magnetization: 0.0 μB/f.u. The calculation puts the uncorrected formation energy at -1047 meV/atom.

Unit cell a=7.790 b=7.790 c=11.003 alpha=88.44 beta=111.00 gamma=122.16
Fractional positions:
Pb (0.000, 0.000, 0.000)
Pb (0.500, 0.000, 0.500)
Cl (0.332, 0.621, 0.428)
Cl (0.668, 0.379, 0.572)
Cl (0.188, 0.900, 0.568)
Cl (0.832, 0.620, 0.932)
Cl (0.168, 0.380, 0.068)
Cl (0.812, 0.100, 0.432)
Cl (0.693, 0.903, 0.072)
Cl (0.255, 0.005, 0.250)
Cl (0.745, 0.995, 0.750)
Cl (0.307, 0.097, 0.928)
Cs (0.750, 0.500, 0.250)
Cs (0.250, 0.500, 0.750)

=====

CsPb3Cl: relaxed, PBE.

Properties
As for the polymorph energy (0 for the lowest one): 977 meV/atom. As for the magnetization: 0.0 μB/f.u. The calculation puts the uncorrected formation energy at 1060 meV/atom.

Unit cell a=6.464 b=6.464 c=6.464 alpha=90.00 beta=90.00 gamma=90.00
Fractional positions:
Pb (0.000, 0.000, 0.500)
Pb (0.500, 0.000, 0.000)
Pb (0.000, 0.500, 0.000)
Cl (0.500, 0.500, 0.500)
Cs (0.000, 0.000, 0.000)

=====

Cs2PbCl4: relaxed, PBE.

Properties
As for the magnetization: 0.0 μB/f.u. The calculation puts the uncorrected formation energy at -1651 meV/atom.

Unit cell a=5.709 b=5.709 c=9.662 alpha=72.82 beta=72.82 gamma=90.00
Fractional positions:
Cl (0.836, 0.836, 0.329)
Cl (0.500, 0.000, 0.000)
Cl (0.164, 0.164, 0.671)
Cl (0.000, 0.500, 0.000)
Cs (0.642, 0.642, 0.717)
Cs (0.358, 0.358, 0.283)
Pb (0.000, 0.000, 0.000)